No. 1
Below is a relaxed structure of LiNi2Cl, with properties calculated at the PBE level.

Properties
total energy	-3.896	eV per atom
crystal system	tetragonal
space-group type	P4/mmm, No. 123
ΔE to the lowest computed polymorph	140.2	meV per atom
formation energy from raw total energies	-0.065	eV/atom

Cell and atoms, written as POSCAR:
```
LiNi2Cl
1.0
3.2895 0.0000 0.0000
0.0000 3.2895 0.0000
0.0000 0.0000 6.6957
Li Ni Cl
1 2 1
Direct
0.0000 0.0000 0.0000 Li
0.0000 0.5000 0.5000 Ni
0.5000 0.0000 0.5000 Ni
0.5000 0.5000 0.0000 Cl
```

=====

No. 2
Below is a relaxed structure of Pm2Pr3YTe6, with properties calculated at the PBE level.

Properties
total energy	-5.506	eV per atom
crystal system	monoclinic
space-group type	C2/m, No. 12
formation energy from raw total energies	-1.410	eV/atom

Cell and atoms, written as POSCAR:
```
Pm2Pr3YTe6
1.0
9.7766 -2.2267 0.0000
9.7766 2.2267 0.0000
-2.1006 0.0000 8.7831
Pm Pr Y Te
2 3 1 6
Direct
0.1683 0.1683 0.3358 Pm
0.8317 0.8317 0.6642 Pm
0.1697 0.1697 0.8338 Pr
0.5000 0.5000 0.5000 Pr
0.8303 0.8303 0.1662 Pr
0.5000 0.5000 0.0000 Y
0.0004 0.0004 0.2407 Te
0.9996 0.9996 0.7593 Te
0.3330 0.3330 0.4196 Te
0.3381 0.3381 0.9155 Te
0.6619 0.6619 0.0845 Te
0.6670 0.6670 0.5804 Te
```

=====

No. 3
Below is a relaxed structure of Pr2NdTl3, with properties calculated at the PBE level.

Properties
total energy	-3.822	eV per atom
crystal system	orthorhombic
space-group type	Cmcm, No. 63
ΔE to the lowest computed polymorph	144.3	meV per atom

Cell and atoms, written as POSCAR:
```
Pr2NdTl3
1.0
1.9058 -14.8481 0.0000
1.9058 14.8481 0.0000
0.0000 0.0000 6.8550
Pr Nd Tl
4 2 6
Direct
0.0067 0.9933 0.7500 Pr
0.1515 0.8485 0.2500 Pr
0.8485 0.1515 0.7500 Pr
0.9933 0.0067 0.2500 Pr
0.3311 0.6689 0.2500 Nd
0.6689 0.3311 0.7500 Nd
0.2572 0.7428 0.7500 Tl
0.4233 0.5767 0.5119 Tl
0.4233 0.5767 0.9881 Tl
0.5767 0.4233 0.0119 Tl
0.5767 0.4233 0.4881 Tl
0.7428 0.2572 0.2500 Tl
```